# 1
Sr2Ca2Hg after structural relaxation, computed with PBE-GGA.

calculated total energy	-8.1	eV/f.u.

abc: 8.169 8.169 6.444
angles: 90.00 90.00 90.00
Fractional positions:
Sr  0.173  0.327  0.000
Sr  0.327  0.827  0.000
Sr  0.673  0.173  0.000
Sr  0.827  0.673  0.000
Ca  0.156  0.656  0.500
Ca  0.344  0.156  0.500
Ca  0.656  0.844  0.500
Ca  0.844  0.344  0.500
Hg  0.000  0.000  0.500
Hg  0.500  0.500  0.500

=====

# 2
DyScO4 after structural relaxation, computed with PBE-GGA.

calculated total energy	-48.2	eV/f.u.
E_form (uncorrected)	-2.901	eV/atom

abc: 6.745 3.588 5.983
angles: 90.00 95.85 90.00
Fractional positions:
Dy  0.000  0.000  0.000
Dy  0.500  0.500  0.000
Sc  0.359  0.000  0.454
Sc  0.859  0.500  0.454
O  0.036  0.000  0.386
O  0.083  0.500  0.763
O  0.276  0.500  0.664
O  0.327  0.000  0.096
O  0.536  0.500  0.386
O  0.583  0.000  0.763
O  0.776  0.000  0.664
O  0.827  0.500  0.096

=====

# 3
TeHAu2 after structural relaxation, computed with PBE-GGA.

calculated total energy	-10.4	eV/f.u.

abc: 6.667 6.667 6.667
angles: 90.00 90.00 90.00
Fractional positions:
Te  0.000  0.000  0.000
Te  0.000  0.500  0.500
Te  0.500  0.000  0.500
Te  0.500  0.500  0.000
H  0.000  0.000  0.500
H  0.000  0.500  0.000
H  0.500  0.000  0.000
H  0.500  0.500  0.500
Au  0.250  0.250  0.250
Au  0.250  0.250  0.750
Au  0.250  0.750  0.250
Au  0.250  0.750  0.750
Au  0.750  0.250  0.250
Au  0.750  0.250  0.750
Au  0.750  0.750  0.250
Au  0.750  0.750  0.750

=====

# 4
SmHfZn2 after structural relaxation, computed with PBE-GGA.

calculated total energy	-18.1	eV/f.u.

abc: 3.446 3.446 7.009
angles: 90.00 90.00 90.00
Fractional positions:
Sm  0.000  0.000  0.000
Hf  0.000  0.000  0.500
Zn  0.500  0.500  0.287
Zn  0.500  0.500  0.713

=====

# 5
Ba2PaH3O3 after structural relaxation, computed with PBE-GGA.

calculated total energy	-55.8	eV/f.u.

abc: 6.362 6.362 3.863
angles: 90.00 90.00 120.00
Fractional positions:
Ba  0.333  0.667  0.000
Ba  0.667  0.333  0.000
Pa  0.000  0.000  0.500
H  0.000  0.206  0.000
H  0.206  0.000  0.000
H  0.794  0.794  0.000
O  0.000  0.665  0.500
O  0.335  0.335  0.500
O  0.665  0.000  0.500

=====

# 6
FeSnN2 after structural relaxation, computed with PBE-GGA.

calculated total energy	-27.4	eV/f.u.
E_form (uncorrected)	0.438	eV/atom

abc: 2.943 2.943 18.823
angles: 90.00 90.00 120.00
Fractional positions:
Fe  0.000  0.000  0.000
Fe  0.333  0.667  0.667
Fe  0.667  0.333  0.333
Sn  0.000  0.000  0.500
Sn  0.333  0.667  0.167
Sn  0.667  0.333  0.833
N  0.000  0.000  0.386
N  0.000  0.000  0.614
N  0.333  0.667  0.053
N  0.333  0.667  0.281
N  0.667  0.333  0.719
N  0.667  0.333  0.947

=====

# 7
TiBPS2 after structural relaxation, computed with PBE-GGA.

calculated total energy	-24.5	eV/f.u.
E_form (uncorrected)	0.752	eV/atom

abc: 4.649 4.649 4.783
angles: 90.00 90.00 90.00
Fractional positions:
Ti  0.000  0.000  0.000
B  0.500  0.500  0.500
P  0.000  0.000  0.500
S  0.000  0.500  0.000
S  0.500  0.000  0.000

=====

# 8
HoCd4Pd7 after structural relaxation, computed with PBE-GGA.

calculated total energy	-48.2	eV/f.u.

abc: 5.883 5.883 9.993
angles: 116.98 116.98 50.41
Fractional positions:
Ho  0.000  0.000  0.000
Cd  0.248  0.248  0.667
Cd  0.413  0.413  0.230
Cd  0.587  0.587  0.770
Cd  0.752  0.752  0.333
Pd  0.059  0.059  0.339
Pd  0.215  0.215  0.920
Pd  0.357  0.357  0.471
Pd  0.500  0.500  0.000
Pd  0.643  0.643  0.529
Pd  0.785  0.785  0.080
Pd  0.941  0.941  0.661

=====

# 9
TcRu2Br after structural relaxation, computed with PBE-GGA.

calculated total energy	-26.9	eV/f.u.
E_form (uncorrected)	0.927	eV/atom

abc: 5.697 7.458 2.873
angles: 90.00 90.18 90.00
Fractional positions:
Tc  0.000  0.000  0.000
Tc  0.500  0.500  0.000
Ru  0.250  0.250  0.500
Ru  0.250  0.750  0.500
Ru  0.750  0.250  0.500
Ru  0.750  0.750  0.500
Br  0.000  0.500  0.000
Br  0.500  0.000  0.000

=====

# 10
LaPr7Tl5 after structural relaxation, computed with PBE-GGA.

calculated total energy	-52.9	eV/f.u.

abc: 8.603 8.603 8.603
angles: 133.08 100.82 97.42
Fractional positions:
La  0.000  0.000  0.000
Pr  0.142  0.452  0.691
Pr  0.194  0.694  0.500
Pr  0.306  0.969  0.337
Pr  0.336  0.336  0.000
Pr  0.632  0.969  0.663
Pr  0.663  0.663  0.000
Pr  0.761  0.452  0.309
Tl  0.449  0.454  0.486
Tl  0.449  0.964  0.996
Tl  0.724  0.224  0.500
Tl  0.968  0.454  0.004
Tl  0.968  0.964  0.514

=====

# 11
PaInS3 after structural relaxation, computed with PBE-GGA.

calculated total energy	-30.2	eV/f.u.
E_form (uncorrected)	-1.113	eV/atom

abc: 5.246 5.246 5.246
angles: 90.00 90.00 90.00
Fractional positions:
Pa  0.000  0.000  0.000
In  0.500  0.500  0.500
S  0.000  0.000  0.500
S  0.000  0.500  0.000
S  0.500  0.000  0.000

=====

# 12
KTl2SI after structural relaxation, computed with PBE-GGA.

calculated total energy	-14.4	eV/f.u.
E_form (uncorrected)	-0.571	eV/atom

abc: 5.995 5.995 6.001
angles: 90.00 90.00 90.00
Fractional positions:
K  0.000  0.000  0.000
Tl  0.000  0.500  0.500
Tl  0.500  0.000  0.500
S  0.000  0.000  0.500
I  0.500  0.500  0.000

=====

# 13
AlS after structural relaxation, computed with PBE-GGA.

calculated total energy	-9.3	eV/f.u.
E_form (uncorrected)	-0.696	eV/atom

abc: 10.617 10.617 3.420
angles: 90.00 90.00 90.00
Fractional positions:
Al  0.153  0.310  0.000
Al  0.190  0.653  0.500
Al  0.310  0.847  0.000
Al  0.347  0.190  0.500
Al  0.653  0.810  0.500
Al  0.690  0.153  0.000
Al  0.810  0.347  0.500
Al  0.847  0.690  0.000
S  0.014  0.269  0.500
S  0.231  0.514  0.000
S  0.269  0.986  0.500
S  0.486  0.231  0.000
S  0.514  0.769  0.000
S  0.731  0.014  0.500
S  0.769  0.486  0.000
S  0.986  0.731  0.500

=====

# 14
ErNbNi after structural relaxation, computed with PBE-GGA.

calculated total energy	-20.5	eV/f.u.

abc: 3.239 3.239 10.676
angles: 90.00 90.00 90.00
Fractional positions:
Er  0.000  0.000  0.160
Er  0.000  0.000  0.840
Nb  0.500  0.500  0.366
Nb  0.500  0.500  0.634
Ni  0.000  0.000  0.500
Ni  0.500  0.500  0.000

=====

# 15
Zr2RhW after structural relaxation, computed with PBE-GGA.

calculated total energy	-37.8	eV/f.u.

abc: 3.953 3.953 9.542
angles: 90.00 90.00 90.00
Fractional positions:
Zr  0.000  0.000  0.000
Zr  0.000  0.500  0.250
Zr  0.500  0.000  0.750
Zr  0.500  0.500  0.500
Rh  0.000  0.500  0.750
Rh  0.500  0.000  0.250
W  0.000  0.000  0.500
W  0.500  0.500  0.000

=====

# 16
Er2CdTe after structural relaxation, computed with PBE-GGA.

calculated total energy	-15.7	eV/f.u.
E_form (uncorrected)	-0.629	eV/atom

abc: 3.845 3.845 7.036
angles: 90.00 90.00 90.00
Fractional positions:
Er  0.000  0.000  0.250
Er  0.000  0.000  0.750
Cd  0.500  0.500  0.000
Te  0.500  0.500  0.500

=====

# 17
PmDy7Ho5 after structural relaxation, computed with PBE-GGA.

calculated total energy	-56.6	eV/f.u.

abc: 8.669 8.669 8.669
angles: 134.83 100.33 96.65
Fractional positions:
Pm  0.000  0.000  0.000
Dy  0.224  0.553  0.670
Dy  0.304  0.304  0.000
Dy  0.382  0.052  0.329
Dy  0.610  0.610  0.000
Dy  0.723  0.052  0.671
Dy  0.801  0.301  0.500
Dy  0.883  0.553  0.330
Ho  0.031  0.036  0.463
Ho  0.031  0.568  0.995
Ho  0.304  0.804  0.500
Ho  0.573  0.036  0.005
Ho  0.573  0.568  0.537

=====

# 18
NaAgB2 after structural relaxation, computed with PBE-GGA.

calculated total energy	-14.6	eV/f.u.

abc: 3.663 3.663 16.595
angles: 90.00 90.00 90.00
Fractional positions:
Na  0.000  0.250  0.375
Na  0.000  0.750  0.625
Na  0.500  0.250  0.125
Na  0.500  0.750  0.875
Ag  0.000  0.250  0.875
Ag  0.000  0.750  0.125
Ag  0.500  0.250  0.625
Ag  0.500  0.750  0.375
B  0.000  0.000  0.000
B  0.000  0.500  0.000
B  0.250  0.250  0.750
B  0.250  0.750  0.250
B  0.500  0.000  0.500
B  0.500  0.500  0.500
B  0.750  0.250  0.750
B  0.750  0.750  0.250

=====

# 19
PrMnB4 after structural relaxation, computed with PBE-GGA.

calculated total energy	-43.5	eV/f.u.

abc: 6.049 11.708 3.529
angles: 90.00 90.00 90.00
Fractional positions:
Pr  0.123  0.151  0.000
Pr  0.377  0.651  0.000
Pr  0.623  0.349  0.000
Pr  0.877  0.849  0.000
Mn  0.125  0.418  0.000
Mn  0.375  0.918  0.000
Mn  0.625  0.082  0.000
Mn  0.875  0.582  0.000
B  0.024  0.687  0.500
B  0.110  0.545  0.500
B  0.143  0.967  0.500
B  0.226  0.819  0.500
B  0.274  0.319  0.500
B  0.357  0.467  0.500
B  0.390  0.045  0.500
B  0.476  0.187  0.500
B  0.524  0.813  0.500
B  0.610  0.955  0.500
B  0.643  0.533  0.500
B  0.726  0.681  0.500
B  0.774  0.181  0.500
B  0.857  0.033  0.500
B  0.890  0.455  0.500
B  0.976  0.313  0.500

=====

# 20
LaNdCd2 after structural relaxation, computed with PBE-GGA.

calculated total energy	-12.8	eV/f.u.

abc: 5.500 5.500 3.913
angles: 90.00 90.00 90.00
Fractional positions:
La  0.000  0.000  0.000
Nd  0.500  0.500  0.000
Cd  0.000  0.500  0.500
Cd  0.500  0.000  0.500